(1)
Here is a geometry-optimized CaZr2ReC structure from the Alexandria database. Energies are from PBE.

```
CaZr2ReC
1.0
-1.970 -0.580 4.882
2.688 -2.943 0.735
3.440 3.595 1.816
C Zr Re Ca
1 2 1 1
direct
0.000 0.500 0.000
0.500 0.000 0.000
0.000 0.000 0.500
0.000 0.000 0.000
0.500 0.500 0.500
```

Calculated values
Energy relative to the elements, eV per atom: 0.86
Electronic total energy, eV per atom: -7.29
Space group: P4/mmm (123)



(2)
Here is a geometry-optimized Tl3Cu2AgF9 structure from the Alexandria database. Energies are from PBE.

```
Tl3Cu2AgF9
1.0
-0.595 2.613 5.346
-2.035 -5.557 -0.855
6.544 -2.712 2.054
F Cu Ag Tl
9 2 1 3
direct
0.823 0.646 0.686
0.646 0.823 0.314
0.177 0.354 0.314
0.500 0.500 0.000
0.354 0.177 0.686
0.500 0.000 0.000
0.177 0.823 0.314
0.000 0.500 0.000
0.823 0.177 0.686
0.333 0.667 0.154
0.667 0.333 0.846
0.000 0.000 0.500
0.667 0.333 0.339
0.333 0.667 0.661
0.000 0.000 0.000
```

Calculated values
Electronic total energy, eV per atom: -3.93
Space group: P-3m1 (164)
E_form (uncorrected), eV per atom: -1.5948



(3)
Here is a geometry-optimized CeDy3ErTm structure from the Alexandria database. Energies are from PBE.

```
CeDy3ErTm
1.0
-4.217 -0.653 3.614
5.948 -1.426 2.356
1.233 10.715 3.375
Dy Ce Tm Er
6 2 2 2
direct
0.673 0.345 0.470
0.327 0.655 0.970
0.673 0.345 0.030
0.141 0.282 0.750
0.859 0.718 0.250
0.327 0.655 0.530
0.471 0.941 0.250
0.529 0.059 0.750
0.171 0.342 0.250
0.829 0.658 0.750
0.000 0.000 0.000
0.000 0.000 0.500
```

Calculated values
Energy relative to the elements, eV per atom: 0.16
Electronic total energy, eV per atom: -4.64
Space group: Cmcm (63)



(4)
Here is a geometry-optimized AuSe2Cl2 structure from the Alexandria database. Energies are from PBE.

```
AuSe2Cl2
1.0
-1.776 0.158 -6.711
-6.347 -2.300 1.625
-1.589 4.762 0.532
Cl Se Au
4 4 2
direct
0.174 0.326 0.500
0.674 0.174 0.500
0.826 0.674 0.500
0.326 0.826 0.500
0.840 0.660 0.000
0.660 0.160 0.000
0.340 0.840 0.000
0.160 0.340 0.000
0.500 0.500 0.000
0.000 0.000 0.000
```

Calculated values
Electronic total energy, eV per atom: -2.78
Space group: P4/mbm (127)
E_form (uncorrected), eV per atom: 0.0042



(5)
Here is a geometry-optimized Cd2In2Cu structure from the Alexandria database. Energies are from PBE.

```
Cd2In2Cu
1.0
4.964 0.000 -1.829
-0.981 6.075 -2.664
-0.020 -0.373 7.597
Cd In Cu
4 4 2
direct
0.917 0.763 0.834
0.417 0.071 0.834
0.583 0.929 0.166
0.083 0.237 0.166
0.176 0.839 0.351
0.324 0.488 0.649
0.824 0.161 0.649
0.676 0.512 0.351
0.750 0.500 0.000
0.250 0.500 0.000
```

Calculated values
Energy relative to the elements, eV per atom: 0.05
Electronic total energy, eV per atom: -2.23
Space group: Ibam (72)



(6)
Here is a geometry-optimized In2Re4Ag structure from the Alexandria database. Energies are from PBE.

```
In2Re4Ag
1.0
-2.089 -0.852 -4.196
4.228 0.325 -2.171
2.055 -7.094 -2.287
Re Ag In
4 1 2
direct
0.820 0.820 0.361
0.000 0.500 0.000
0.180 0.180 0.639
0.500 0.000 0.000
0.000 0.000 0.000
0.376 0.376 0.248
0.624 0.624 0.752
```

Calculated values
Energy relative to the elements, eV per atom: 2.50
Electronic total energy, eV per atom: -5.80
Space group: I4/mmm (139)



(7)
Here is a geometry-optimized TcTe2Pt structure from the Alexandria database. Energies are from PBE.

```
TcTe2Pt
1.0
-1.822 3.646 -0.368
-3.694 0.615 1.649
1.059 3.444 6.157
Te Pt Tc
2 1 1
direct
0.026 0.026 0.921
0.218 0.218 0.347
0.488 0.488 0.538
0.768 0.768 0.695
```

Calculated values
Electronic total energy, eV per atom: -5.63
Space group: R3m (160)
E_form (uncorrected), eV per atom: 0.0387



(8)
Here is a geometry-optimized Tl2Hg2Pd7 structure from the Alexandria database. Energies are from PBE.

```
Tl2Hg2Pd7
1.0
-0.812 -3.401 -4.804
2.865 -5.130 3.146
-5.047 -0.995 2.973
Pd Tl Hg
7 2 2
direct
0.500 0.704 0.500
0.500 0.296 0.500
0.000 0.000 0.000
0.500 0.287 0.000
0.000 0.713 0.500
0.000 0.287 0.500
0.500 0.713 0.000
0.297 0.000 0.703
0.703 0.000 0.297
0.181 0.500 0.181
0.819 0.500 0.819
```

Calculated values
Energy relative to the elements, eV per atom: 0.14
Electronic total energy, eV per atom: -3.65
Space group: Cmmm (65)



(9)
Here is a geometry-optimized Ta2Ti structure from the Alexandria database. Energies are from PBE.

```
Ta2Ti
1.0
3.307 0.000 0.000
0.000 3.307 0.000
-1.653 -1.653 4.899
Ti Ta
1 2
direct
0.000 0.000 0.000
0.670 0.670 0.339
0.330 0.330 0.661
```

Calculated values
Energy relative to the elements, eV per atom: 0.07
Electronic total energy, eV per atom: -10.46
Space group: I4/mmm (139)



(10)
Here is a geometry-optimized FeTcBr structure from the Alexandria database. Energies are from PBE.

```
FeTcBr
1.0
4.193 0.000 0.000
2.097 3.632 0.000
2.097 1.211 3.424
Fe Br Tc
1 1 1
direct
0.500 0.500 0.500
0.000 0.000 0.000
0.750 0.750 0.750
```

Calculated values
Electronic total energy, eV per atom: -5.92
Space group: F-43m (216)
E_form (uncorrected), eV per atom: 0.9094



(11)
Here is a geometry-optimized Tb5Al4Ga structure from the Alexandria database. Energies are from PBE.

```
Tb5Al4Ga
1.0
3.603 0.000 0.000
0.000 3.603 0.000
0.000 0.000 18.139
Tb Al Ga
5 4 1
direct
0.500 0.500 0.902
0.500 0.500 0.500
0.500 0.500 0.300
0.500 0.500 0.098
0.500 0.500 0.700
0.000 0.000 0.200
0.000 0.000 0.600
0.000 0.000 0.800
0.000 0.000 0.400
0.000 0.000 0.000
```

Calculated values
Energy relative to the elements, eV per atom: -0.43
Electronic total energy, eV per atom: -4.55
Space group: P4/mmm (123)



- Among the records above, which one has the highest electronic total energy?
  Cd2In2Cu